# Na3Sm3PuO8

Crystalline Na3Sm3PuO8 at its relaxed geometry (GGA-PBE, the Alexandria database).

```
Na3Sm3PuO8
1.0
3.534 2.040 5.615
-3.534 2.040 5.615
0.000 -4.081 5.615
Na Sm Pu O
3 3 1 8
direct
0.000 0.500 0.500
0.500 0.000 0.500
0.500 0.500 0.000
0.000 0.000 0.500
0.000 0.500 0.000
0.500 0.000 0.000
0.500 0.500 0.500
0.237 0.237 0.237
0.252 0.724 0.724
0.276 0.276 0.748
0.276 0.748 0.276
0.724 0.252 0.724
0.724 0.724 0.252
0.748 0.276 0.276
0.763 0.763 0.763
```

raw formation energy = -2.723 eV/atom
density of states at the Fermi level = 4.874 states/eV/cell
total magnetic moment = 4.0 μB per cell

# NaPuSn2O8

Crystalline NaPuSn2O8 at its relaxed geometry (GGA-PBE, the Alexandria database).

```
NaPuSn2O8
1.0
3.570 -3.620 0.000
3.570 3.620 0.000
0.000 0.000 6.375
Na Pu Sn O
1 1 2 8
direct
0.000 0.000 0.000
0.000 0.000 0.500
0.500 0.500 0.244
0.500 0.500 0.756
0.192 0.192 0.288
0.192 0.192 0.712
0.314 0.686 0.500
0.316 0.684 0.000
0.684 0.316 0.000
0.686 0.314 0.500
0.808 0.808 0.288
0.808 0.808 0.712
```

raw formation energy = -1.818 eV/atom
total magnetic moment = 0.9 μB per cell

# Na2PuSnO6

Crystalline Na2PuSnO6 at its relaxed geometry (GGA-PBE, the Alexandria database).

```
Na2PuSnO6
1.0
5.827 0.000 0.000
0.000 5.827 0.000
0.000 0.000 4.139
Na Pu Sn O
2 1 1 6
direct
0.000 0.500 0.000
0.500 0.000 0.000
0.000 0.000 0.505
0.500 0.500 0.504
0.000 0.000 0.005
0.247 0.247 0.505
0.247 0.753 0.505
0.500 0.500 0.004
0.753 0.247 0.505
0.753 0.753 0.505
```

raw formation energy = -1.994 eV/atom
density of states at the Fermi level = 2.584 states/eV/cell
total magnetic moment = 2.0 μB per cell

# Na2SrPuO4

Crystalline Na2SrPuO4 at its relaxed geometry (GGA-PBE, the Alexandria database).

```
Na2SrPuO4
1.0
5.995 0.000 0.000
0.000 3.535 0.000
-2.259 0.000 5.798
Na Sr Pu O
2 1 1 4
direct
0.000 0.000 0.000
0.000 0.500 0.500
0.500 0.000 0.500
0.500 0.500 0.000
0.280 0.000 0.777
0.290 0.500 0.217
0.710 0.500 0.783
0.720 0.000 0.223
```

raw formation energy = -2.391 eV/atom
density of states at the Fermi level = 5.571 states/eV/cell
total magnetic moment = 4.0 μB per cell